No. 1
# Pr4CrS7

A geometry-optimized Pr4CrS7 structure (PBE, the Alexandria database).

a = 10.2899 Å, b = 10.2899 Å, c = 6.6342 Å
α = 90.00°, β = 90.00°, γ = 120.00°
Atoms (fractional coordinates):
Pr 0.0000 0.0000 0.0000
Pr 0.0000 0.0000 0.5000
Pr 0.1511 0.4011 0.1625
Pr 0.2500 0.8489 0.1625
Pr 0.4011 0.2500 0.6625
Pr 0.5989 0.7500 0.1625
Pr 0.7500 0.1511 0.6625
Pr 0.8489 0.5989 0.6625
Cr 0.3333 0.6667 0.5795
Cr 0.6667 0.3333 0.0795
S 0.1014 0.5860 0.4215
S 0.1138 0.2563 0.7557
S 0.1425 0.8862 0.7557
S 0.2563 0.1425 0.2557
S 0.3333 0.6667 0.9415
S 0.4140 0.5154 0.4215
S 0.4846 0.8986 0.4215
S 0.5154 0.1014 0.9215
S 0.5860 0.4846 0.9215
S 0.6667 0.3333 0.4415
S 0.7437 0.8575 0.7557
S 0.8575 0.1138 0.2557
S 0.8862 0.7437 0.2557
S 0.8986 0.4140 0.9215

E_tot: -6.405 eV/atom
Relative energy among the computed polymorphs: 0.076 eV per atom
Uncorrected formation energy: -1.602 eV/atom

No. 2
# PrCrS2

A geometry-optimized PrCrS2 structure (PBE, the Alexandria database).

a = 6.4092 Å, b = 6.4092 Å, c = 6.4092 Å
α = 36.48°, β = 36.48°, γ = 36.48°
Atoms (fractional coordinates):
Pr 0.0000 0.0000 0.0000
Cr 0.5000 0.5000 0.5000
S 0.2388 0.2388 0.2388
S 0.7612 0.7612 0.7612

E_tot: -6.798 eV/atom
Uncorrected formation energy: -1.134 eV/atom

No. 3
# Pr2ScCrS6

A geometry-optimized Pr2ScCrS6 structure (PBE, the Alexandria database).

a = 6.4210 Å, b = 7.0543 Å, c = 11.3100 Å
α = 90.00°, β = 123.65°, γ = 90.00°
Atoms (fractional coordinates):
Pr 0.2111 0.0975 0.2481
Pr 0.2111 0.4025 0.7481
Pr 0.7889 0.5975 0.2519
Pr 0.7889 0.9025 0.7519
Sc 0.5000 0.0000 0.0000
Sc 0.5000 0.5000 0.5000
Cr 0.0000 0.0000 0.5000
Cr 0.0000 0.5000 0.0000
S 0.1195 0.1969 0.9460
S 0.1195 0.3031 0.4460
S 0.2585 0.6831 0.9469
S 0.2585 0.8169 0.4469
S 0.3533 0.0230 0.7412
S 0.3533 0.4770 0.2412
S 0.6467 0.5230 0.7588
S 0.6467 0.9770 0.2588
S 0.7415 0.1831 0.5531
S 0.7415 0.3169 0.0531
S 0.8805 0.6969 0.5540
S 0.8805 0.8031 0.0540

E_tot: -6.711 eV/atom
Uncorrected formation energy: -1.683 eV/atom

No. 4
# Pr2TiCrS6

A geometry-optimized Pr2TiCrS6 structure (PBE, the Alexandria database).

a = 6.3150 Å, b = 7.0533 Å, c = 11.1848 Å
α = 90.00°, β = 123.91°, γ = 90.00°
Atoms (fractional coordinates):
Pr 0.2073 0.0988 0.2481
Pr 0.2073 0.4012 0.7481
Pr 0.7927 0.5988 0.2519
Pr 0.7927 0.9012 0.7519
Ti 0.5000 0.0000 0.0000
Ti 0.5000 0.5000 0.5000
Cr 0.0000 0.0000 0.5000
Cr 0.0000 0.5000 0.0000
S 0.1286 0.1895 0.9491
S 0.1286 0.3105 0.4491
S 0.2698 0.6885 0.9495
S 0.2698 0.8115 0.4495
S 0.3561 0.0211 0.7484
S 0.3561 0.4789 0.2484
S 0.6439 0.5211 0.7516
S 0.6439 0.9789 0.2516
S 0.7302 0.1885 0.5505
S 0.7302 0.3115 0.0505
S 0.8714 0.6895 0.5509
S 0.8714 0.8105 0.0509

E_tot: -6.726 eV/atom
Uncorrected formation energy: -1.541 eV/atom

No. 5
# Pr3Tl3CrS8

A geometry-optimized Pr3Tl3CrS8 structure (PBE, the Alexandria database).

a = 8.7826 Å, b = 8.7826 Å, c = 8.7826 Å
α = 55.07°, β = 55.07°, γ = 55.07°
Atoms (fractional coordinates):
Pr 0.0000 0.5000 0.5000
Pr 0.5000 0.0000 0.5000
Pr 0.5000 0.5000 0.0000
Tl 0.0000 0.0000 0.5000
Tl 0.0000 0.5000 0.0000
Tl 0.5000 0.0000 0.0000
Cr 0.0000 0.0000 0.0000
S 0.2086 0.2086 0.7725
S 0.2086 0.7725 0.2086
S 0.2275 0.7914 0.7914
S 0.2624 0.2624 0.2624
S 0.7376 0.7376 0.7376
S 0.7725 0.2086 0.2086
S 0.7914 0.2275 0.7914
S 0.7914 0.7914 0.2275

E_tot: -5.450 eV/atom
Uncorrected formation energy: -1.178 eV/atom

No. 6
# Pr2TmCrS6

A geometry-optimized Pr2TmCrS6 structure (PBE, the Alexandria database).

a = 6.5107 Å, b = 7.1329 Å, c = 11.4330 Å
α = 90.00°, β = 123.23°, γ = 90.00°
Atoms (fractional coordinates):
Pr 0.2095 0.0964 0.2469
Pr 0.2095 0.4036 0.7469
Pr 0.7905 0.5964 0.2531
Pr 0.7905 0.9036 0.7531
Tm 0.5000 0.0000 0.0000
Tm 0.5000 0.5000 0.5000
Cr 0.0000 0.0000 0.5000
Cr 0.0000 0.5000 0.0000
S 0.1092 0.2004 0.9409
S 0.1092 0.2997 0.4409
S 0.2495 0.6789 0.9427
S 0.2495 0.8211 0.4427
S 0.3564 0.0309 0.7352
S 0.3564 0.4691 0.2352
S 0.6436 0.5309 0.7648
S 0.6436 0.9691 0.2648
S 0.7505 0.1789 0.5573
S 0.7505 0.3211 0.0573
S 0.8908 0.7004 0.5591
S 0.8908 0.7996 0.0591

E_tot: -6.549 eV/atom
Uncorrected formation energy: -1.707 eV/atom

No. 7
# PrSc2Cr

A geometry-optimized PrSc2Cr structure (PBE, the Alexandria database).

a = 3.3369 Å, b = 3.3369 Å, c = 8.5831 Å
α = 90.00°, β = 90.00°, γ = 90.00°
Atoms (fractional coordinates):
Pr 0.0000 0.0000 0.0000
Sc 0.5000 0.5000 0.3136
Sc 0.5000 0.5000 0.6864
Cr 0.0000 0.0000 0.5000

E_tot: -6.587 eV/atom
DFT formation energy: 0.7 eV/f.u.

No. 8
# Pr2CrSe4

A geometry-optimized Pr2CrSe4 structure (PBE, the Alexandria database).

a = 7.3835 Å, b = 7.3835 Å, c = 7.5174 Å
α = 118.53°, β = 118.53°, γ = 32.94°
Atoms (fractional coordinates):
Pr 0.2146 0.2146 0.2080
Pr 0.7854 0.7854 0.7920
Cr 0.5000 0.5000 0.5000
Se 0.1293 0.1293 0.5022
Se 0.3947 0.3947 0.1036
Se 0.6053 0.6053 0.8964
Se 0.8707 0.8707 0.4978

E_tot: -6.071 eV/atom
Uncorrected formation energy: -1.340 eV/atom

No. 9
# Pr3Tl4CrSe8

A geometry-optimized Pr3Tl4CrSe8 structure (PBE, the Alexandria database).

a = 9.1507 Å, b = 9.1507 Å, c = 9.1507 Å
α = 55.04°, β = 55.04°, γ = 55.04°
Atoms (fractional coordinates):
Pr 0.0000 0.5000 0.5000
Pr 0.5000 0.0000 0.5000
Pr 0.5000 0.5000 0.0000
Tl 0.0000 0.0000 0.5000
Tl 0.0000 0.5000 0.0000
Tl 0.5000 0.0000 0.0000
Tl 0.5000 0.5000 0.5000
Cr 0.0000 0.0000 0.0000
Se 0.2180 0.2180 0.7640
Se 0.2180 0.7640 0.2180
Se 0.2360 0.7820 0.7820
Se 0.2609 0.2609 0.2609
Se 0.7391 0.7391 0.7391
Se 0.7640 0.2180 0.2180
Se 0.7820 0.2360 0.7820
Se 0.7820 0.7820 0.2360

E_tot: -4.917 eV/atom
Uncorrected formation energy: -1.085 eV/atom

No. 10
# Pr3Cr5Te12

A geometry-optimized Pr3Cr5Te12 structure (PBE, the Alexandria database).

a = 14.8273 Å, b = 14.8273 Å, c = 14.8273 Å
α = 109.47°, β = 109.47°, γ = 109.47°
Atoms (fractional coordinates):
Pr 0.1250 0.2500 0.3750
Pr 0.1250 0.3750 0.7500
Pr 0.2500 0.3750 0.1250
Pr 0.2500 0.8750 0.6250
Pr 0.3750 0.1250 0.2500
Pr 0.3750 0.7500 0.1250
Pr 0.6250 0.2500 0.8750
Pr 0.6250 0.8750 0.7500
Pr 0.7500 0.1250 0.3750
Pr 0.7500 0.6250 0.8750
Pr 0.8750 0.6250 0.2500
Pr 0.8750 0.7500 0.6250
Cr 0.0000 0.0000 0.0000
Cr 0.0000 0.0000 0.5000
Cr 0.0000 0.5000 0.0000
Cr 0.0000 0.5000 0.5000
Cr 0.1250 0.7500 0.8750
Cr 0.1250 0.8750 0.2500
Cr 0.2500 0.1250 0.8750
Cr 0.2500 0.6250 0.3750
Cr 0.3750 0.2500 0.6250
Cr 0.3750 0.6250 0.7500
Cr 0.5000 0.0000 0.0000
Cr 0.5000 0.0000 0.5000
Cr 0.5000 0.5000 0.0000
Cr 0.5000 0.5000 0.5000
Cr 0.6250 0.3750 0.2500
Cr 0.6250 0.7500 0.3750
Cr 0.7500 0.3750 0.6250
Cr 0.7500 0.8750 0.1250
Cr 0.8750 0.1250 0.7500
Cr 0.8750 0.2500 0.1250
Te 0.0289 0.2057 0.1174
Te 0.0289 0.3232 0.9115
Te 0.0883 0.7057 0.6768
Te 0.0883 0.8826 0.4115
Te 0.0885 0.6174 0.4117
Te 0.0885 0.9711 0.6768
Te 0.1174 0.0289 0.2057
Te 0.1174 0.5885 0.9117
Te 0.1768 0.2057 0.5883
Te 0.1768 0.4711 0.5885
Te 0.2057 0.1174 0.0289
Te 0.2057 0.5883 0.1768
Te 0.2943 0.3232 0.9117
Te 0.2943 0.4711 0.3826
Te 0.3232 0.9115 0.0289
Te 0.3232 0.9117 0.2943
Te 0.3826 0.2943 0.4711
Te 0.3826 0.5883 0.9115
Te 0.4115 0.0883 0.8826
Te 0.4115 0.8232 0.5289
Te 0.4117 0.0885 0.6174
Te 0.4117 0.8232 0.7943
Te 0.4711 0.3826 0.2943
Te 0.4711 0.5885 0.1768
Te 0.5289 0.4115 0.8232
Te 0.5289 0.6174 0.7057
Te 0.5883 0.1768 0.2057
Te 0.5883 0.9115 0.3826
Te 0.5885 0.1768 0.4711
Te 0.5885 0.9117 0.1174
Te 0.6174 0.4117 0.0885
Te 0.6174 0.7057 0.5289
Te 0.6768 0.0883 0.7057
Te 0.6768 0.0885 0.9711
Te 0.7057 0.5289 0.6174
Te 0.7057 0.6768 0.0883
Te 0.7943 0.4117 0.8232
Te 0.7943 0.8826 0.9711
Te 0.8232 0.5289 0.4115
Te 0.8232 0.7943 0.4117
Te 0.8826 0.4115 0.0883
Te 0.8826 0.9711 0.7943
Te 0.9115 0.0289 0.3232
Te 0.9115 0.3826 0.5883
Te 0.9117 0.1174 0.5885
Te 0.9117 0.2943 0.3232
Te 0.9711 0.6768 0.0885
Te 0.9711 0.7943 0.8826

E_tot: -5.525 eV/atom
Uncorrected formation energy: -0.517 eV/atom

No. 11
# PrTi2Cr

A geometry-optimized PrTi2Cr structure (PBE, the Alexandria database).

a = 9.9502 Å, b = 9.9502 Å, c = 9.9502 Å
α = 17.70°, β = 17.70°, γ = 17.70°
Atoms (fractional coordinates):
Pr 0.0000 0.0000 0.0000
Ti 0.1057 0.1057 0.1057
Ti 0.8943 0.8943 0.8943
Cr 0.5000 0.5000 0.5000

E_tot: -7.074 eV/atom
DFT formation energy: 1.9 eV/f.u.

No. 12
# PrZn4Cr

A geometry-optimized PrZn4Cr structure (PBE, the Alexandria database).

a = 5.3228 Å, b = 5.3228 Å, c = 5.3228 Å
α = 60.00°, β = 60.00°, γ = 60.00°
Atoms (fractional coordinates):
Pr 0.0000 0.0000 0.0000
Zn 0.1284 0.6239 0.6239
Zn 0.6239 0.1284 0.6239
Zn 0.6239 0.6239 0.1284
Zn 0.6239 0.6239 0.6239
Cr 0.2500 0.2500 0.2500

E_tot: -3.335 eV/atom
DFT formation energy: -0.5 eV/f.u.

> Which of these has the highest E_tot?

PrZn4Cr

> Which value of E_tot does entry 12 give?

-3.335 eV/atom